No. 1
# Ag4SnAu8 | Alexandria via LeMat-Bulk | GGA-PBE | relaxed
data_Ag4SnAu8
_cell_length_a 2.922
_cell_length_b 4.753
_cell_length_c 18.017
_cell_angle_alpha 90.00
_cell_angle_beta 90.00
_cell_angle_gamma 90.00
_symmetry_space_group_name_H-M 'P m m 2'
_symmetry_Int_Tables_number 25
loop_
_symmetry_equiv_pos_as_xyz
'x,y,z'
'-x,-y,z'
'-x,y,z'
'x,-y,z'
loop_
_atom_site_label
_atom_site_type_symbol
_atom_site_fract_x
_atom_site_fract_y
_atom_site_fract_z
_atom_site_occupancy
Ag1 Ag 0.000 0.000 0.000 1
Ag2 Ag 0.000 0.500 0.191 1
Ag3 Ag 0.500 0.000 0.426 1
Ag4 Ag 0.500 0.500 0.633 1
Sn1 Sn 0.000 0.000 0.721 1
Au1 Au 0.000 0.000 0.284 1
Au2 Au 0.000 0.000 0.567 1
Au3 Au 0.000 0.500 0.480 1
Au4 Au 0.000 0.500 0.903 1
Au5 Au 0.500 0.000 0.142 1
Au6 Au 0.500 0.000 0.859 1
Au7 Au 0.500 0.500 0.049 1
Au8 Au 0.500 0.500 0.335 1
# Crystal system   orthorhombic
# Final energy   -3.21 eV/atom
# ρ   14.11 g/cm³
# Energy of formation from the pure elements   0.00 eV per atom

***

No. 2
# NdEr2Mg4 | Alexandria via LeMat-Bulk | GGA-PBE | relaxed
data_NdEr2Mg4
_cell_length_a 5.360
_cell_length_b 5.360
_cell_length_c 14.696
_cell_angle_alpha 90.00
_cell_angle_beta 90.00
_cell_angle_gamma 90.00
_symmetry_space_group_name_H-M 'I 4/m m m'
_symmetry_Int_Tables_number 139
_symmetry_space_group_name_Hall '-I 4 2'
loop_
_atom_site_label
_atom_site_type_symbol
_atom_site_fract_x
_atom_site_fract_y
_atom_site_fract_z
_atom_site_occupancy
Nd1 Nd 0.000 0.000 0.000 1
Er1 Er 0.000 0.000 0.250 1
Mg1 Mg 0.000 0.500 0.121 1
# Crystal system   tetragonal
# Final energy   -2.75 eV/atom
# ρ   4.53 g/cm³
# Excess energy over the best structure of this formula in the dataset   0.000 eV/atom
# Energy of formation from the pure elements   0.15 eV per atom

***

No. 3
# Rb3Nd2PaSe6 | Alexandria via LeMat-Bulk | GGA-PBE | relaxed
data_Rb3Nd2PaSe6
_cell_length_a 7.491
_cell_length_b 12.972
_cell_length_c 8.429
_cell_angle_alpha 90.00
_cell_angle_beta 107.24
_cell_angle_gamma 90.00
_symmetry_space_group_name_H-M 'C 1 2/m 1'
_symmetry_Int_Tables_number 12
loop_
_symmetry_equiv_pos_as_xyz
'x,y,z'
'-x,-y,-z'
'-x,y,-z'
'x,-y,z'
'x+1/2,y+1/2,z'
'-x+1/2,-y+1/2,-z'
'-x+1/2,y+1/2,-z'
'x+1/2,-y+1/2,z'
loop_
_atom_site_label
_atom_site_type_symbol
_atom_site_fract_x
_atom_site_fract_y
_atom_site_fract_z
_atom_site_occupancy
Rb1 Rb 0.000 0.000 0.000 1
Rb2 Rb 0.000 0.331 0.000 1
Nd1 Nd 0.000 0.166 0.500 1
Pa1 Pa 0.000 0.500 0.500 1
Se1 Se 0.229 0.338 0.701 1
Se2 Se 0.244 0.000 0.702 1
# Crystal system   monoclinic
# Final energy   -5.15 eV/atom
# ρ   5.31 g/cm³
# ΔE_f (raw)   -1575 meV/atom

***

No. 4
# RbSr | Alexandria via LeMat-Bulk | GGA-PBE | relaxed
data_RbSr
_cell_length_a 4.3955
_cell_length_b 4.3955
_cell_length_c 16.5153
_cell_angle_alpha 90.00
_cell_angle_beta 90.00
_cell_angle_gamma 120.00
_symmetry_space_group_name_H-M 'P 63 m c'
_symmetry_Int_Tables_number 186
_symmetry_space_group_name_Hall 'P 6c -2c'
loop_
_atom_site_label
_atom_site_type_symbol
_atom_site_fract_x
_atom_site_fract_y
_atom_site_fract_z
_atom_site_occupancy
Rb1 Rb 0.3333 0.6667 0.0000 1
Sr1 Sr 0.3333 0.6667 0.2621 1
# Crystal system   hexagonal
# Final energy   -1.14 eV/atom
# ρ   2.08 g/cm³
# Energy of formation from the pure elements   0.18 eV per atom

***

No. 5
# ZnInSbTe2 | Alexandria via LeMat-Bulk | GGA-PBE | relaxed
data_ZnInSbTe2
_cell_length_a 5.736
_cell_length_b 5.736
_cell_length_c 5.680
_cell_angle_alpha 90.00
_cell_angle_beta 90.00
_cell_angle_gamma 90.00
_symmetry_space_group_name_H-M 'P 4/m m m'
_symmetry_Int_Tables_number 123
_symmetry_space_group_name_Hall '-P 4 2'
loop_
_atom_site_label
_atom_site_type_symbol
_atom_site_fract_x
_atom_site_fract_y
_atom_site_fract_z
_atom_site_occupancy
Zn1 Zn 0.000 0.000 0.000 1
In1 In 0.500 0.500 0.500 1
Sb1 Sb 0.500 0.500 0.000 1
Te1 Te 0.000 0.500 0.500 1
# Crystal system   tetragonal
# Final energy   -2.22 eV/atom
# ρ   4.95 g/cm³
# Excess energy over the best structure of this formula in the dataset   0.382 eV/atom
# ΔE_f (raw)   661 meV/atom

***

No. 6
# TaTi2Tc4 | Alexandria via LeMat-Bulk | GGA-PBE | relaxed
data_TaTi2Tc4
_cell_length_a 6.161
_cell_length_b 6.161
_cell_length_c 6.126
_cell_angle_alpha 90.00
_cell_angle_beta 90.00
_cell_angle_gamma 90.00
_symmetry_space_group_name_H-M 'I 4/m m m'
_symmetry_Int_Tables_number 139
_symmetry_space_group_name_Hall '-I 4 2'
loop_
_atom_site_label
_atom_site_type_symbol
_atom_site_fract_x
_atom_site_fract_y
_atom_site_fract_z
_atom_site_occupancy
Ta1 Ta 0.000 0.000 0.000 1
Ti1 Ti 0.000 0.500 0.000 1
Tc1 Tc 0.250 0.250 0.250 1
# Crystal system   tetragonal
# Final energy   -9.77 eV/atom
# ρ   9.55 g/cm³
# Energy of formation from the pure elements   0.10 eV per atom